# HfAlSeBr2 PBE relaxed
data_HfAlSeBr2
_chemical_formula_sum 'Hf1 Al1 Se1 Br2'
_symmetry_space_group_name_H-M 'P 4/m m m'
_symmetry_Int_Tables_number 123
_symmetry_space_group_name_Hall '-P 4 2'
_cell_length_a 5.3057
_cell_length_b 5.3057
_cell_length_c 5.1893
_cell_angle_alpha 90.00
_cell_angle_beta 90.00
_cell_angle_gamma 90.00
loop_
_atom_site_label
_atom_site_fract_x
_atom_site_fract_y
_atom_site_fract_z
Hf1 0.0000 0.0000 0.0000
Al1 0.5000 0.5000 0.5000
Se1 0.0000 0.0000 0.5000
Br1 0.0000 0.5000 0.0000
# energy relative to the lowest polymorph listed for this composition	0.0000	eV/atom
# uncorrected formation energy	-487	meV per atom
# calculated volume	146	Å³/cell

=====

# AlHg4Br2 PBE relaxed
data_AlHg4Br2
_chemical_formula_sum 'Al2 Hg8 Br4'
_symmetry_space_group_name_H-M 'I 4/m m m'
_symmetry_Int_Tables_number 139
_symmetry_space_group_name_Hall '-I 4 2'
_cell_length_a 5.4166
_cell_length_b 5.4166
_cell_length_c 15.6314
_cell_angle_alpha 90.00
_cell_angle_beta 90.00
_cell_angle_gamma 90.00
loop_
_atom_site_label
_atom_site_fract_x
_atom_site_fract_y
_atom_site_fract_z
Al1 0.0000 0.0000 0.0000
Hg1 0.0000 0.0000 0.1641
Hg2 0.0000 0.5000 0.0000
Br1 0.0000 0.0000 0.3322
# uncorrected formation energy	-194	meV per atom
# calculated volume	459	Å³/cell

=====

# AlHgBr6 PBE relaxed
data_AlHgBr6
_chemical_formula_sum 'Al2 Hg2 Br12'
_symmetry_space_group_name_H-M 'C 1 2/m 1'
_symmetry_Int_Tables_number 12
_symmetry_space_group_name_Hall '-C 2y'
_cell_length_a 6.6996
_cell_length_b 12.8136
_cell_length_c 7.2021
_cell_angle_alpha 90.00
_cell_angle_beta 114.17
_cell_angle_gamma 90.00
loop_
_atom_site_label
_atom_site_fract_x
_atom_site_fract_y
_atom_site_fract_z
Al1 0.0000 0.0000 0.0000
Hg1 0.0000 0.5000 0.5000
Br1 0.2074 0.1407 0.2471
Br2 0.2221 0.5000 0.1611
# uncorrected formation energy	-582	meV per atom
# calculated volume	564	Å³/cell

=====

# AlHg2Br8 PBE relaxed
data_AlHg2Br8
_chemical_formula_sum 'Al2 Hg4 Br16'
_symmetry_space_group_name_H-M 'C 1 2/m 1'
_symmetry_Int_Tables_number 12
_symmetry_space_group_name_Hall '-C 2y'
_cell_length_a 12.7263
_cell_length_b 6.6026
_cell_length_c 11.2622
_cell_angle_alpha 90.00
_cell_angle_beta 108.75
_cell_angle_gamma 90.00
loop_
_atom_site_label
_atom_site_fract_x
_atom_site_fract_y
_atom_site_fract_z
Al1 0.0000 0.0000 0.0000
Hg1 0.1676 0.5000 0.5559
Br1 0.0416 0.5000 0.6858
Br2 0.1337 0.2453 0.1019
Br3 0.1756 0.0000 0.5325
# uncorrected formation energy	-500	meV per atom
# calculated volume	896	Å³/cell